A relaxed structure of TaSi2PdCl, computed with PBE.

a b c (Å): 4.633 4.633 4.746
angles (deg): 90.00 90.00 90.00
Positions (direct):
Ta 0.000 0.000 0.000
Si 0.000 0.500 0.500
Si 0.500 0.000 0.500
Pd 0.500 0.500 0.500
Cl 0.500 0.500 0.000

Spin magnetization (μB/f.u.): 0.769
V (Å³/atom): 20.4
DOS(E_F) (states/eV/atom): 1.15
Uncorrected formation energy (eV per atom): 1.06
E (eV per atom): -4.88



A relaxed structure of Mg2PPdN, computed with PBE.

a b c (Å): 4.124 4.124 4.175
angles (deg): 90.00 90.00 90.00
Positions (direct):
Mg 0.000 0.500 0.000
Mg 0.500 0.000 0.000
P 0.000 0.000 0.500
Pd 0.500 0.500 0.500
N 0.000 0.000 0.000

Spin magnetization (μB/f.u.): 0.000
V (Å³/atom): 14.2
DOS(E_F) (states/eV/atom): 0.48
Uncorrected formation energy (eV per atom): -0.17
E (eV per atom): -4.59